Density functional theory data (GGA+U) for a relaxed LaCo2F2 crystal.

Unit cell a=5.974 b=5.974 c=5.533 alpha=90.00 beta=90.00 gamma=90.00
Fractional coordinates of all 10 atoms:
F1 0.150 0.650 0.000
F2 0.650 0.850 0.000
F3 0.850 0.350 0.000
F4 0.350 0.150 0.000
Co1 0.232 0.732 0.500
Co2 0.732 0.768 0.500
Co3 0.768 0.268 0.500
Co4 0.268 0.232 0.500
La1 0.000 0.000 0.000
La2 0.500 0.500 0.000

The value obtained for the distance to the lowest polymorph of the same formula is 0 meV/atom. The space group is P4/mbm, No. 127. The magnetization is 8.24 μB/cell.